DFT (PBE) results for TaPS2F after structural relaxation.

Geometry as CIF:
```
data_TaPS2F
_symmetry_space_group_name_H-M 'P 4/m m m'
_symmetry_Int_Tables_number 123
_symmetry_space_group_name_Hall '-P 4 2'
_cell_length_a 4.6829
_cell_length_b 4.6829
_cell_length_c 4.9291
_cell_angle_alpha 90.00
_cell_angle_beta 90.00
_cell_angle_gamma 90.00
loop_
_atom_site_label
_atom_site_type_symbol
_atom_site_fract_x
_atom_site_fract_y
_atom_site_fract_z
Ta1 Ta 0.0000 0.0000 0.0000
P1 P 0.0000 0.0000 0.5000
S1 S 0.0000 0.5000 0.0000
F1 F 0.5000 0.5000 0.5000
```

Properties
Energy relative to the elements, uncorrected ... -138 meV per atom
Total moment ... 0.000 μB per atom
Energy relative to the lowest polymorph listed for this composition ... 0.00 kJ per mole of atoms
Density ... 4.5 Mg/m³

***

DFT (PBE) results for K3Ho2RuO6 after structural relaxation.

Geometry as CIF:
```
data_K3Ho2RuO6
_symmetry_space_group_name_H-M 'C 1 2/m 1'
_symmetry_Int_Tables_number 12
_cell_length_a 5.8076
_cell_length_b 10.0496
_cell_length_c 6.4943
_cell_angle_alpha 90.00
_cell_angle_beta 107.21
_cell_angle_gamma 90.00
loop_
_symmetry_equiv_pos_as_xyz
'x,y,z'
'-x,-y,-z'
'-x,y,-z'
'x,-y,z'
'x+1/2,y+1/2,z'
'-x+1/2,-y+1/2,-z'
'-x+1/2,y+1/2,-z'
'x+1/2,-y+1/2,z'
loop_
_atom_site_label
_atom_site_type_symbol
_atom_site_fract_x
_atom_site_fract_y
_atom_site_fract_z
K1 K 0.0000 0.0000 0.0000
K2 K 0.0000 0.3384 0.0000
Ho1 Ho 0.0000 0.1671 0.5000
Ru1 Ru 0.0000 0.5000 0.5000
O1 O 0.2220 0.3399 0.6860
O2 O 0.2410 0.0000 0.6847
```

Properties
Energy relative to the elements, uncorrected ... -2131 meV per atom
Total moment ... 0.084 μB per atom
Density ... 5.9 Mg/m³

***

DFT (PBE) results for InFeOs2 after structural relaxation.

Geometry as CIF:
```
data_InFeOs2
_symmetry_space_group_name_H-M 'I -4 m 2'
_symmetry_Int_Tables_number 119
_symmetry_space_group_name_Hall 'I -4 -2'
_cell_length_a 3.9398
_cell_length_b 3.9398
_cell_length_c 7.7756
_cell_angle_alpha 90.00
_cell_angle_beta 90.00
_cell_angle_gamma 90.00
loop_
_atom_site_label
_atom_site_type_symbol
_atom_site_fract_x
_atom_site_fract_y
_atom_site_fract_z
In1 In 0.0000 0.0000 0.0000
Fe1 Fe 0.0000 0.5000 0.2500
Os1 Os 0.0000 0.0000 0.5000
Os2 Os 0.0000 0.5000 0.7500
```

Properties
Total moment ... 0.560 μB per atom
ΔH_f (0 K) ... 189 kJ/mol of formula units
Density ... 15.2 Mg/m³

***

DFT (PBE) results for CrRh3 after structural relaxation.

Geometry as CIF:
```
data_CrRh3
_symmetry_space_group_name_H-M 'R -3 m'
_symmetry_Int_Tables_number 166
_symmetry_space_group_name_Hall '-R 3 2"'
_cell_length_a 8.5633
_cell_length_b 8.5633
_cell_length_c 2.7208
_cell_angle_alpha 90.00
_cell_angle_beta 90.00
_cell_angle_gamma 120.00
loop_
_atom_site_label
_atom_site_type_symbol
_atom_site_fract_x
_atom_site_fract_y
_atom_site_fract_z
Cr1 Cr 0.0000 0.0000 0.0000
Rh1 Rh 0.0000 0.5000 0.0000
```

Properties
Total moment ... 0.849 μB per atom
ΔH_f (0 K) ... 99 kJ/mol of formula units
Density ... 10.4 Mg/m³

***

DFT (PBE) results for Tb3Ho4Zn after structural relaxation.

Geometry as CIF:
```
data_Tb3Ho4Zn
_symmetry_space_group_name_H-M 'P 4/m m m'
_symmetry_Int_Tables_number 123
_symmetry_space_group_name_Hall '-P 4 2'
_cell_length_a 3.5406
_cell_length_b 3.5406
_cell_length_c 18.6651
_cell_angle_alpha 90.00
_cell_angle_beta 90.00
_cell_angle_gamma 90.00
loop_
_atom_site_label
_atom_site_type_symbol
_atom_site_fract_x
_atom_site_fract_y
_atom_site_fract_z
Tb1 Tb 0.0000 0.0000 0.0000
Tb2 Tb 0.0000 0.0000 0.2684
Ho1 Ho 0.5000 0.5000 0.1350
Ho2 Ho 0.5000 0.5000 0.4051
Zn1 Zn 0.0000 0.0000 0.5000
```

Properties
Total moment ... 0.000 μB per atom
ΔH_f (0 K) ... -56 kJ/mol of formula units
Density ... 8.5 Mg/m³

***

DFT (PBE) results for PuU3Pa2N6 after structural relaxation.

Geometry as CIF:
```
data_PuU3Pa2N6
_symmetry_space_group_name_H-M 'C 1 2/m 1'
_symmetry_Int_Tables_number 12
_cell_length_a 5.9976
_cell_length_b 10.3841
_cell_length_c 6.0231
_cell_angle_alpha 90.00
_cell_angle_beta 109.39
_cell_angle_gamma 90.00
loop_
_symmetry_equiv_pos_as_xyz
'x,y,z'
'-x,-y,-z'
'-x,y,-z'
'x,-y,z'
'x+1/2,y+1/2,z'
'-x+1/2,-y+1/2,-z'
'-x+1/2,y+1/2,-z'
'x+1/2,-y+1/2,z'
loop_
_atom_site_label
_atom_site_type_symbol
_atom_site_fract_x
_atom_site_fract_y
_atom_site_fract_z
Pu1 Pu 0.0000 0.0000 0.0000
U1 U 0.0000 0.1646 0.5000
U2 U 0.0000 0.5000 0.5000
Pa1 Pa 0.0000 0.3328 0.0000
N1 N 0.2445 0.3310 0.7412
N2 N 0.2477 0.5000 0.2575
```

Properties
Energy relative to the elements, uncorrected ... -1413 meV per atom
Total moment ... 0.674 μB per atom
Density ... 14.1 Mg/m³

***

DFT (PBE) results for Tm2CdGaPd4 after structural relaxation.

Geometry as CIF:
```
data_Tm2CdGaPd4
_symmetry_space_group_name_H-M 'R -3 m'
_symmetry_Int_Tables_number 166
_symmetry_space_group_name_Hall '-R 3 2"'
_cell_length_a 4.6889
_cell_length_b 4.6889
_cell_length_c 23.1062
_cell_angle_alpha 90.00
_cell_angle_beta 90.00
_cell_angle_gamma 120.00
loop_
_atom_site_label
_atom_site_type_symbol
_atom_site_fract_x
_atom_site_fract_y
_atom_site_fract_z
Tm1 Tm 0.0000 0.0000 0.2502
Cd1 Cd 0.0000 0.0000 0.0000
Ga1 Ga 0.0000 0.0000 0.5000
Pd1 Pd 0.0000 0.0000 0.1285
Pd2 Pd 0.0000 0.0000 0.3799
```

Properties
Total moment ... 0.000 μB per atom
ΔH_f (0 K) ... -616 kJ/mol of formula units
Density ... 10.7 Mg/m³

***

DFT (PBE) results for Th2Zn5Ga3 after structural relaxation.

Geometry as CIF:
```
data_Th2Zn5Ga3
_symmetry_space_group_name_H-M 'P -4 m 2'
_symmetry_Int_Tables_number 115
_cell_length_a 4.2960
_cell_length_b 4.2960
_cell_length_c 10.3807
_cell_angle_alpha 90.00
_cell_angle_beta 90.00
_cell_angle_gamma 90.00
loop_
_symmetry_equiv_pos_as_xyz
'x,y,z'
'y,-x,-z'
'-x,-y,z'
'-y,x,-z'
'-x,y,z'
'-y,-x,-z'
'x,-y,z'
'y,x,-z'
loop_
_atom_site_label
_atom_site_type_symbol
_atom_site_fract_x
_atom_site_fract_y
_atom_site_fract_z
Th1 Th 0.0000 0.5000 0.2459
Zn1 Zn 0.0000 0.0000 0.0000
Zn2 Zn 0.0000 0.0000 0.5000
Zn3 Zn 0.0000 0.5000 0.8751
Zn4 Zn 0.5000 0.5000 0.0000
Ga1 Ga 0.0000 0.5000 0.6407
Ga2 Ga 0.5000 0.5000 0.5000
```

Properties
Total moment ... 0.000 μB per atom
Energy relative to the lowest polymorph listed for this composition ... 3.40 kJ per mole of atoms
ΔH_f (0 K) ... -356 kJ/mol of formula units
Density ... 8.7 Mg/m³

***

DFT (PBE) results for Na2AcHg6 after structural relaxation.

Geometry as CIF:
```
data_Na2AcHg6
_symmetry_space_group_name_H-M 'P 6/m m m'
_symmetry_Int_Tables_number 191
_symmetry_space_group_name_Hall '-P 6 2'
_cell_length_a 8.8914
_cell_length_b 8.8914
_cell_length_c 3.6347
_cell_angle_alpha 90.00
_cell_angle_beta 90.00
_cell_angle_gamma 120.00
loop_
_atom_site_label
_atom_site_type_symbol
_atom_site_fract_x
_atom_site_fract_y
_atom_site_fract_z
Na1 Na 0.3333 0.6667 0.0000
Ac1 Ac 0.0000 0.0000 0.0000
Hg1 Hg 0.0000 0.3390 0.5000
```

Properties
Total moment ... 0.000 μB per atom
Energy relative to the lowest polymorph listed for this composition ... 0.00 kJ per mole of atoms
ΔH_f (0 K) ... -247 kJ/mol of formula units
Density ... 9.9 Mg/m³

***

DFT (PBE) results for KTaSe2N after structural relaxation.

Geometry as CIF:
```
data_KTaSe2N
_symmetry_space_group_name_H-M 'P 4/m m m'
_symmetry_Int_Tables_number 123
_symmetry_space_group_name_Hall '-P 4 2'
_cell_length_a 5.2422
_cell_length_b 5.2422
_cell_length_c 4.0318
_cell_angle_alpha 90.00
_cell_angle_beta 90.00
_cell_angle_gamma 90.00
loop_
_atom_site_label
_atom_site_type_symbol
_atom_site_fract_x
_atom_site_fract_y
_atom_site_fract_z
K1 K 0.0000 0.0000 0.0000
Ta1 Ta 0.5000 0.5000 0.5000
Se1 Se 0.0000 0.5000 0.5000
N1 N 0.5000 0.5000 0.0000
```

Properties
Energy relative to the elements, uncorrected ... -526 meV per atom
Total moment ... 0.185 μB per atom
Energy relative to the lowest polymorph listed for this composition ... 0.00 kJ per mole of atoms
Density ... 5.9 Mg/m³

***

DFT (PBE) results for Rb2Tl7Ga after structural relaxation.

Geometry as CIF:
```
data_Rb2Tl7Ga
_symmetry_space_group_name_H-M 'P -4 m 2'
_symmetry_Int_Tables_number 115
_cell_length_a 5.2854
_cell_length_b 5.2854
_cell_length_c 12.8157
_cell_angle_alpha 90.00
_cell_angle_beta 90.00
_cell_angle_gamma 90.00
loop_
_symmetry_equiv_pos_as_xyz
'x,y,z'
'y,-x,-z'
'-x,-y,z'
'-y,x,-z'
'-x,y,z'
'-y,-x,-z'
'x,-y,z'
'y,x,-z'
loop_
_atom_site_label
_atom_site_type_symbol
_atom_site_fract_x
_atom_site_fract_y
_atom_site_fract_z
Rb1 Rb 0.0000 0.5000 0.2428
Tl1 Tl 0.0000 0.0000 0.0000
Tl2 Tl 0.0000 0.0000 0.5000
Tl3 Tl 0.0000 0.5000 0.6397
Tl4 Tl 0.0000 0.5000 0.8783
Tl5 Tl 0.5000 0.5000 0.5000
Ga1 Ga 0.5000 0.5000 0.0000
```

Properties
Total moment ... 0.000 μB per atom
ΔH_f (0 K) ... -33 kJ/mol of formula units
Density ... 7.8 Mg/m³

***

DFT (PBE) results for Tl3TeH3 after structural relaxation.

Geometry as CIF:
```
data_Tl3TeH3
_symmetry_space_group_name_H-M 'P -1'
_symmetry_Int_Tables_number 2
_cell_length_a 6.2996
_cell_length_b 7.0063
_cell_length_c 8.8601
_cell_angle_alpha 73.17
_cell_angle_beta 88.77
_cell_angle_gamma 65.39
loop_
_symmetry_equiv_pos_as_xyz
'x,y,z'
'-x,-y,-z'
loop_
_atom_site_label
_atom_site_type_symbol
_atom_site_fract_x
_atom_site_fract_y
_atom_site_fract_z
Tl1 Tl 0.0622 0.2636 0.1942
Tl2 Tl 0.3039 0.0929 0.7960
Tl3 Tl 0.3643 0.5775 0.1587
Te1 Te 0.1877 0.5616 0.4996
H1 H 0.0779 0.3415 0.9079
H2 H 0.3117 0.6282 0.9036
H3 H 0.3819 0.8633 0.1118
```

Properties
Total energy ... -2.634 eV per atom
Total moment ... 0.000 μB per atom
Density ... 7.3 Mg/m³

***

Question: Among the records above, which one has the highest total moment?
Answer: CrRh3